1.
Be3MoS | GGA-PBE | relaxed

Calculated values
- ΔE to the lowest computed polymorph: 725 meV/atom
- Energy relative to the elements, uncorrected: 1.641 eV/atom
- Space-group type: Pm-3m
- Magnetic moment: 0.0000 μB/atom
- Density: 3.14 g/cm3
- N(E_F): 5.6 states/eV per cell

```
5
Lattice="4.346 0.000 0.000 0.000 4.346 0.000 0.000 0.000 4.346" Properties=species:S:1:pos:R:3 pbc="T T T"
Be 0.000 2.173 0.000
Be 0.000 0.000 2.173
Be 2.173 0.000 0.000
Mo 0.000 0.000 0.000
S 2.173 2.173 2.173
```



2.
Na5Ga2Hg5 | GGA-PBE | relaxed

Calculated values
- Space-group type: C2/m
- DFT formation energy: -2.3 eV per formula unit
- Magnetic moment: 0.0000 μB/atom
- Density: 7.04 g/cm3
- N(E_F): 4.9 states/eV per cell

```
12
Lattice="4.953 0.000 1.008 2.481 4.381 0.480 -0.195 -1.345 13.632" Properties=species:S:1:pos:R:3 pbc="T T T"
Na 1.143 1.518 7.056
Na 4.731 2.926 2.100
Na 4.079 2.958 5.301
Na 3.160 0.078 9.818
Na 2.508 0.110 13.020
Ga 2.847 3.014 11.356
Ga 4.392 0.022 3.764
Hg 3.807 0.051 6.637
Hg 5.311 1.549 11.919
Hg 1.928 1.487 3.201
Hg 3.432 2.985 8.483
Hg 0.000 0.000 0.000
```



3.
PmPa2Al | GGA-PBE | relaxed

Calculated values
- ΔE to the lowest computed polymorph: 0 meV/atom
- Space-group type: P4/mmm
- DFT formation energy: 0.2 eV per formula unit
- Magnetic moment: 0.0001 μB/atom
- Density: 10.60 g/cm3
- N(E_F): 8.1 states/eV per cell

```
4
Lattice="-2.569 3.166 -2.923 0.808 -2.597 -3.523 -3.736 -2.275 0.820" Properties=species:S:1:pos:R:3 pbc="T T T"
Pa -1.868 -1.137 0.410
Pa 0.404 -1.298 -1.762
Al -1.285 1.583 -1.461
Pm -2.749 -0.853 -2.813
```



4.
TmThOsPd | GGA-PBE | relaxed

Calculated values
- Space-group type: F-43m
- DFT formation energy: -2.2 eV per formula unit
- Magnetic moment: 0.0000 μB/atom
- Density: 13.36 g/cm3
- N(E_F): 2.7 states/eV per cell

```
4
Lattice="4.968 0.000 0.000 2.484 4.302 0.000 2.484 1.434 4.056" Properties=species:S:1:pos:R:3 pbc="T T T"
Tm 7.451 4.302 3.042
Os 4.968 2.868 2.028
Pd 0.000 0.000 0.000
Th 2.484 1.434 1.014
```



5.
SmY3Tm7 | GGA-PBE | relaxed

Calculated values
- ΔE to the lowest computed polymorph: 0 meV/atom
- Space-group type: P2/m
- DFT formation energy: 1.9 eV per formula unit
- Magnetic moment: 0.0000 μB/atom
- Density: 7.57 g/cm3
- N(E_F): 19.9 states/eV per cell

```
11
Lattice="-4.611 -4.164 -6.275 2.522 -6.950 6.527 -1.874 3.150 4.077" Properties=species:S:1:pos:R:3 pbc="T T T"
Sm -1.982 -3.982 2.164
Y -2.373 1.340 1.562
Y 1.261 -3.475 3.263
Y -1.590 -9.304 2.767
Tm -3.865 -6.710 3.405
Tm -2.777 -6.875 0.348
Tm -2.524 -4.258 -1.558
Tm -1.440 -3.705 5.887
Tm -3.243 -0.507 -1.099
Tm -1.187 -1.089 3.981
Tm -0.099 -1.254 0.924
```



6.
Y5Er2Pd4 | GGA-PBE | relaxed

Calculated values
- Space-group type: C2/m
- DFT formation energy: -3.8 eV per formula unit
- Magnetic moment: 0.0000 μB/atom
- Density: 6.72 g/cm3
- N(E_F): 9.5 states/eV per cell

```
11
Lattice="-2.458 2.682 0.802 -4.405 -4.920 2.954 8.340 2.696 7.891" Properties=species:S:1:pos:R:3 pbc="T T T"
Y -1.928 -3.202 4.797
Y 3.405 3.659 6.850
Y 0.123 -0.810 3.083
Y -1.229 1.341 0.401
Y 1.355 1.267 8.564
Er -0.928 -0.161 6.346
Er 2.405 0.619 5.301
Pd -2.693 -0.880 3.342
Pd -3.030 -3.418 2.144
Pd 4.170 1.338 8.305
Pd 4.507 3.876 9.504
```



7.
La5PrY2Ho | GGA-PBE | relaxed

Calculated values
- Space-group type: I4/mcm
- DFT formation energy: 2.6 eV per formula unit
- Magnetic moment: 0.0000 μB/atom
- Density: 6.01 g/cm3
- N(E_F): 30.2 states/eV per cell

```
18
Lattice="9.619 0.000 0.000 0.000 9.619 0.000 -4.809 -4.809 7.041" Properties=species:S:1:pos:R:3 pbc="T T T"
La 7.675 2.866 1.938
La 2.866 -1.944 5.104
La -2.866 1.944 5.104
La -1.944 -2.866 5.104
La 1.944 2.866 5.104
La 6.753 7.675 1.938
La 2.866 1.944 1.938
La 1.944 6.753 1.938
La 4.809 4.809 0.000
La 0.000 0.000 0.000
Pr 0.000 0.000 3.521
Pr 4.809 4.809 3.521
Y 1.038 3.771 0.000
Y 5.848 1.038 0.000
Y 3.771 8.580 0.000
Y 8.580 5.848 0.000
Ho 0.000 4.809 3.521
Ho 4.809 0.000 3.521
```



8.
Na2La4Zn | GGA-PBE | relaxed

Calculated values
- Space-group type: I4/mmm
- DFT formation energy: 2.5 eV per formula unit
- Magnetic moment: 0.0003 μB/atom
- Density: 3.88 g/cm3
- N(E_F): 13.5 states/eV per cell

```
7
Lattice="-2.969 3.880 2.992 1.367 -2.704 4.862 6.338 5.494 4.648" Properties=species:S:1:pos:R:3 pbc="T T T"
Na 3.668 4.797 8.387
Na 1.069 1.873 4.116
Zn 0.000 0.000 0.000
La 0.844 2.857 8.102
La 3.892 3.813 4.401
La 0.684 -1.352 2.431
La -1.484 1.940 1.496
```



9.
NdZn2PdAu5 | GGA-PBE | relaxed

Calculated values
- Space-group type: P4/mmm
- DFT formation energy: -1.9 eV per formula unit
- Magnetic moment: 0.0000 μB/atom
- Density: 12.70 g/cm3
- N(E_F): 2.9 states/eV per cell

```
9
Lattice="-2.363 3.886 1.886 -2.510 -2.985 3.005 5.261 0.720 5.109" Properties=species:S:1:pos:R:3 pbc="T T T"
Nd 2.630 0.360 2.555
Zn -1.606 0.564 3.253
Zn 1.993 1.057 6.748
Pd 0.000 0.000 0.000
Au -0.074 -1.331 2.649
Au -0.001 2.105 2.090
Au 2.825 -0.934 5.465
Au 2.899 2.501 4.906
Au 0.194 0.811 5.000
```



10.
YHfIrO6 | GGA-PBE | relaxed

Calculated values
- Energy relative to the elements, uncorrected: -2.375 eV/atom
- Space-group type: P-31c
- Magnetic moment: 0.2272 μB/atom
- Density: 7.71 g/cm3
- N(E_F): 7.5 states/eV per cell

```
18
Lattice="-1.699 -2.136 -4.536 4.005 -2.236 2.642 -6.418 -5.561 5.023" Properties=species:S:1:pos:R:3 pbc="T T T"
Y 0.000 0.000 0.000
Y -3.209 -2.780 2.511
Hf 0.499 -3.593 1.505
Hf -4.611 -6.340 1.624
Ir -1.402 -3.560 -0.887
Ir -2.710 -6.373 4.017
O 0.571 -3.601 -0.583
O -1.179 -3.646 -2.870
O -0.729 -6.490 4.246
O -2.933 -6.287 5.999
O -1.551 -3.551 1.104
O -1.430 -5.555 -0.961
O -2.671 -8.370 4.027
O -3.382 -3.443 -1.117
O -2.681 -4.378 4.090
O -1.440 -1.563 -0.898
O -2.560 -6.382 2.025
O -4.683 -6.332 3.712
```



> Which formula does entry 10 have?

YHfIrO6



> What is the formula in the sixth record?

Y5Er2Pd4